BAsS2Cl after structural relaxation, computed with GGA-PBE.

Unit cell a=4.947 b=4.947 c=3.755 alpha=90.00 beta=90.00 gamma=90.00
Fractional coordinates of all 5 atoms:
B 0.000 0.000 0.000
As 0.500 0.500 0.000
S 0.000 0.500 0.500
S 0.500 0.000 0.500
Cl 0.000 0.000 0.500

Values from the calculation:
Mass density, kg/m3: 3348
Relative energy among the computed polymorphs, eV per formula unit: 4.770

B2AsSCl after structural relaxation, computed with GGA-PBE.

Unit cell a=3.761 b=3.761 c=6.223 alpha=90.00 beta=90.00 gamma=90.00
Fractional coordinates of all 5 atoms:
B 0.000 0.500 0.000
B 0.500 0.000 0.000
As 0.000 0.000 0.500
S 0.500 0.500 0.500
Cl 0.500 0.500 0.000

Values from the calculation:
Mass density, kg/m3: 3094
DFT total energy, eV per atom: -2.89

BAsS2Cl after structural relaxation, computed with GGA-PBE.

Unit cell a=4.746 b=4.746 c=5.005 alpha=90.00 beta=90.00 gamma=90.00
Fractional coordinates of all 5 atoms:
B 0.000 0.000 0.000
As 0.500 0.500 0.500
S 0.000 0.500 0.500
S 0.500 0.000 0.500
Cl 0.500 0.500 0.000

Values from the calculation:
Mass density, kg/m3: 2730
Relative energy among the computed polymorphs, eV per formula unit: 2.313

BAsS2Cl after structural relaxation, computed with GGA-PBE.

Unit cell a=4.354 b=4.354 c=4.111 alpha=90.00 beta=90.00 gamma=90.00
Fractional coordinates of all 5 atoms:
B 0.000 0.000 0.000
As 0.500 0.500 0.500
S 0.000 0.500 0.000
S 0.500 0.000 0.000
Cl 0.000 0.000 0.500

Values from the calculation:
Mass density, kg/m3: 3948
Relative energy among the computed polymorphs, eV per formula unit: 0.000

Which value of mass density does entry 3 give?
2730 kg/m3

mass density of number 1 (BAsS2Cl)?
3348 kg/m3

The highest mass density belongs to which entry?
number 4

mass density of number 2 (B2AsSCl)?
3094 kg/m3